(1)
VASP calculation (PBE-GGA) on a relaxed structure of PmYEr3Th.

Properties
- Symmetry: Cmcm, No. 63

Cell lengths 5.8345, 6.3262, 11.6721 Å; angles 90.00, 90.00, 117.46 degrees
Last column: nearest neighbours and their distance in Å.
Element x y z (fractional)
Er  0.3234  0.6467  0.5043  3 Er 3.35-3.37, 1 Y 3.43, 2 Pm 3.51-3.55, 3 Th 3.53-3.63
Pm  0.5039  0.0078  0.7500  7 Er 3.44-3.80, 3 Y 3.51-3.66
Er  0.6766  0.3533  0.4957  3 Er 3.35-3.37, 1 Y 3.43, 2 Pm 3.51-3.55, 3 Th 3.53-3.63
Th  0.0000  0.0000  0.0000  8 Er 3.46-3.63, 2 Y 3.49
Y  0.1698  0.3396  0.2500  5 Er 3.43-3.76, 2 Th 3.49, 3 Pm 3.51-3.66
Er  0.8344  0.6689  0.2500  2 Er 3.37, 2 Pm 3.44, 3 Y 3.45-3.76, 2 Th 3.46
Pm  0.4961  0.9922  0.2500  7 Er 3.44-3.80, 3 Y 3.51-3.66
Th  0.0000  0.0000  0.5000  8 Er 3.46-3.63, 2 Y 3.49
Y  0.8302  0.6604  0.7500  5 Er 3.43-3.76, 2 Th 3.49, 3 Pm 3.51-3.66
Er  0.3234  0.6467  0.9957  3 Er 3.35-3.37, 1 Y 3.43, 2 Pm 3.51-3.55, 3 Th 3.53-3.63
Er  0.6766  0.3533  0.0043  3 Er 3.35-3.37, 1 Y 3.43, 2 Pm 3.51-3.55, 3 Th 3.53-3.63
Er  0.1656  0.3311  0.7500  2 Er 3.37, 2 Pm 3.44, 3 Y 3.45-3.76, 2 Th 3.46



(2)
VASP calculation (PBE-GGA) on a relaxed structure of Pm5YEr2Th.

Properties
- Symmetry: Cmc2_1, No. 36

Cell lengths 5.6270, 10.6255, 10.5908 Å; angles 90.00, 90.00, 105.35 degrees
Last column: nearest neighbours and their distance in Å.
Element x y z (fractional)
Th  0.2004  0.4008  0.0116  2 Er 3.40-3.60, 7 Pm 3.48-3.79, 2 Y 3.59
Er  0.1149  0.2298  0.3083  8 Pm 3.30-3.63, 1 Th 3.60
Pm  0.9867  0.9735  0.5183  2 Y 3.33, 4 Er 3.44-3.71, 2 Pm 3.70
Er  0.1124  0.2249  0.7390  1 Th 3.40, 7 Pm 3.48-3.71, 2 Y 3.68
Y  0.4051  0.8102  0.4599  5 Pm 3.07-3.41
Pm  0.5180  0.0360  0.2452  2 Y 3.24-3.41, 2 Er 3.51, 2 Pm 3.56-3.58
Er  0.8876  0.7751  0.2390  1 Th 3.40, 7 Pm 3.48-3.71, 2 Y 3.68
Pm  0.3854  0.7708  0.0247  6 Pm 3.56-3.88, 4 Er 3.61-3.63, 1 Th 3.79
Pm  0.7240  0.4479  0.8120  1 Y 3.07, 1 Er 3.30, 2 Pm 3.34
Pm  0.2928  0.5855  0.7050  2 Pm 3.34, 1 Y 3.47, 2 Th 3.48, 3 Er 3.56-3.71
Pm  0.6146  0.2292  0.5247  6 Pm 3.56-3.88, 4 Er 3.61-3.63, 1 Th 3.79
Th  0.7996  0.5992  0.5116  2 Er 3.40-3.60, 7 Pm 3.48-3.79, 2 Y 3.59
Er  0.8851  0.7702  0.8083  8 Pm 3.30-3.63, 1 Th 3.60
Pm  0.2760  0.5521  0.3120  1 Y 3.07, 1 Er 3.30, 2 Pm 3.34
Pm  0.0133  0.0265  0.0183  2 Y 3.33, 4 Er 3.44-3.71, 2 Pm 3.70
Pm  0.4820  0.9640  0.7452  2 Y 3.24-3.41, 2 Er 3.51, 2 Pm 3.56-3.58
Y  0.5949  0.1898  0.9599  5 Pm 3.07-3.41
Pm  0.7072  0.4145  0.2050  2 Pm 3.34, 1 Y 3.47, 2 Th 3.48, 3 Er 3.56-3.71



(3)
VASP calculation (PBE-GGA) on a relaxed structure of PmYEr2Th.

Properties
- Symmetry: P2/c, No. 13

Cell lengths 6.2770, 8.3195, 6.7145 Å; angles 99.16, 90.00, 90.00 degrees
Last column: nearest neighbours and their distance in Å.
Element x y z (fractional)
Th  0.5416  0.0000  0.2500  4 Er 3.18-3.39, 2 Pm 3.33, 2 Th 3.40
Er  0.3775  0.3271  0.1136  1 Er 3.15, 2 Th 3.18-3.39, 2 Y 3.41-3.48
Er  0.6225  0.6729  0.8864  1 Er 3.15, 2 Th 3.18-3.39, 2 Y 3.41-3.48
Pm  0.0000  0.0000  0.0000  2 Th 3.33, 2 Pm 3.36, 2 Er 3.60
Pm  0.0000  0.0000  0.5000  2 Th 3.33, 2 Pm 3.36, 2 Er 3.60
Er  0.6225  0.3271  0.6136  1 Er 3.15, 2 Th 3.18-3.39, 2 Y 3.41-3.48
Th  0.4584  0.0000  0.7500  4 Er 3.18-3.39, 2 Pm 3.33, 2 Th 3.40
Y  0.8725  0.5000  0.2500  6 Er 3.41-3.54, 2 Y 3.72
Er  0.3775  0.6729  0.3864  1 Er 3.15, 2 Th 3.18-3.39, 2 Y 3.41-3.48
Y  0.1275  0.5000  0.7500  6 Er 3.41-3.54, 2 Y 3.72



(4)
VASP calculation (PBE-GGA) on a relaxed structure of Pm6Y2ErTh.

Properties
- Symmetry: C2/c, No. 15

Cell lengths 9.4918, 8.8992, 8.8992 Å; angles 115.40, 92.91, 92.91 degrees
Last column: nearest neighbours and their distance in Å.
Element x y z (fractional)
Pm  0.0617  0.1123  0.7666  7 Pm 3.50-3.81, 2 Y 3.53-3.87, 2 Th 3.62-3.70
Y  0.0547  0.2971  0.2048  5 Pm 3.33-3.53, 2 Th 3.38-3.57, 1 Er 3.52
Y  0.4453  0.7952  0.7029  5 Pm 3.33-3.53, 2 Th 3.38-3.57, 1 Er 3.52
Pm  0.9383  0.8877  0.2334  7 Pm 3.50-3.81, 2 Y 3.53-3.87, 2 Th 3.62-3.70
Pm  0.6143  0.4770  0.7060  4 Pm 3.24-3.61, 3 Y 3.33-3.50, 2 Er 3.47-3.51
Th  0.2500  0.9653  0.0347  4 Y 3.38-3.57, 6 Pm 3.41-3.70
Y  0.5547  0.2048  0.2971  5 Pm 3.33-3.53, 2 Th 3.38-3.57, 1 Er 3.52
Pm  0.4383  0.2334  0.8877  7 Pm 3.50-3.81, 2 Y 3.53-3.87, 2 Th 3.62-3.70
Er  0.7500  0.5892  0.4108  6 Pm 3.44-3.51, 2 Y 3.52
Pm  0.1910  0.5722  0.0059  1 Pm 3.28, 1 Th 3.41, 1 Er 3.44, 1 Y 3.47
Er  0.2500  0.4108  0.5892  6 Pm 3.44-3.51, 2 Y 3.52
Pm  0.5617  0.7666  0.1123  7 Pm 3.50-3.81, 2 Y 3.53-3.87, 2 Th 3.62-3.70
Pm  0.8090  0.4278  0.9941  1 Pm 3.28, 1 Th 3.41, 1 Er 3.44, 1 Y 3.47
Pm  0.6910  0.0059  0.5722  1 Pm 3.28, 1 Th 3.41, 1 Er 3.44, 1 Y 3.47
Pm  0.3857  0.5230  0.2940  4 Pm 3.24-3.61, 3 Y 3.33-3.50, 2 Er 3.47-3.51
Th  0.7500  0.0347  0.9653  4 Y 3.38-3.57, 6 Pm 3.41-3.70
Pm  0.3090  0.9941  0.4278  1 Pm 3.28, 1 Th 3.41, 1 Er 3.44, 1 Y 3.47
Y  0.9453  0.7029  0.7952  5 Pm 3.33-3.53, 2 Th 3.38-3.57, 1 Er 3.52
Pm  0.1143  0.7060  0.4770  4 Pm 3.24-3.61, 3 Y 3.33-3.50, 2 Er 3.47-3.51
Pm  0.8857  0.2940  0.5230  4 Pm 3.24-3.61, 3 Y 3.33-3.50, 2 Er 3.47-3.51



(5)
VASP calculation (PBE-GGA) on a relaxed structure of Pm3YEr6Th2.

Properties
- Symmetry: C2/m, No. 12

Cell lengths 6.1771, 6.1771, 11.7298 Å; angles 95.05, 95.05, 119.97 degrees
Last column: nearest neighbours and their distance in Å.
Element x y z (fractional)
Er  0.9179  0.5799  0.7540  2 Th 3.50, 1 Y 3.53, 6 Er 3.54-3.62, 3 Pm 3.57-3.59
Pm  0.5000  0.5000  0.5000  6 Er 3.56-3.59, 6 Pm 3.56-3.57
Er  0.2560  0.2560  0.7536  2 Th 3.50, 1 Y 3.53, 6 Er 3.54-3.62, 3 Pm 3.56-3.59
Er  0.7440  0.7440  0.2464  2 Th 3.50, 1 Y 3.53, 6 Er 3.54-3.62, 3 Pm 3.56-3.59
Pm  0.8338  0.1662  0.5000  6 Pm 3.56-3.57, 6 Er 3.57-3.59
Er  0.5799  0.9179  0.7540  2 Th 3.50, 1 Y 3.53, 6 Er 3.54-3.62, 3 Pm 3.57-3.59
Pm  0.1662  0.8338  0.5000  6 Pm 3.56-3.57, 6 Er 3.57-3.59
Er  0.4201  0.0821  0.2460  2 Th 3.50, 1 Y 3.53, 6 Er 3.54-3.62, 3 Pm 3.57-3.59
Y  0.0000  0.0000  0.0000  6 Er 3.53, 6 Th 3.57
Th  0.3334  0.6666  0.0000  6 Er 3.50, 3 Th 3.56-3.57, 3 Y 3.57
Er  0.0821  0.4201  0.2460  2 Th 3.50, 1 Y 3.53, 6 Er 3.54-3.62, 3 Pm 3.57-3.59
Th  0.6666  0.3334  0.0000  6 Er 3.50, 3 Th 3.56-3.57, 3 Y 3.57



(6)
VASP calculation (PBE-GGA) on a relaxed structure of PmY3Er6Th2.

Properties
- Symmetry: C2/m, No. 12

Cell lengths 6.1611, 6.1611, 11.7079 Å; angles 95.04, 95.04, 119.95 degrees
Last column: nearest neighbours and their distance in Å.
Element x y z (fractional)
Th  0.6668  0.3332  0.0000  6 Er 3.51, 3 Pm 3.55-3.56, 3 Th 3.56
Y  0.8337  0.1663  0.5000  6 Er 3.54-3.57, 6 Y 3.55-3.56
Er  0.9168  0.5790  0.7522  2 Th 3.51, 6 Er 3.53-3.61, 1 Pm 3.54, 3 Y 3.54-3.57
Er  0.0832  0.4210  0.2478  2 Th 3.51, 6 Er 3.53-3.61, 1 Pm 3.54, 3 Y 3.54-3.57
Er  0.2549  0.2549  0.7521  2 Th 3.51, 6 Er 3.53-3.61, 1 Pm 3.53, 3 Y 3.54-3.56
Er  0.4210  0.0832  0.2478  2 Th 3.51, 6 Er 3.53-3.61, 1 Pm 3.54, 3 Y 3.54-3.57
Y  0.5000  0.5000  0.5000  6 Er 3.54-3.57, 6 Y 3.56
Th  0.3332  0.6668  0.0000  6 Er 3.51, 3 Pm 3.55-3.56, 3 Th 3.56
Y  0.1663  0.8337  0.5000  6 Er 3.54-3.57, 6 Y 3.55-3.56
Er  0.7451  0.7451  0.2479  2 Th 3.51, 6 Er 3.53-3.61, 1 Pm 3.53, 3 Y 3.54-3.56
Pm  0.0000  0.0000  0.0000  6 Er 3.53-3.54, 6 Th 3.55-3.56
Er  0.5790  0.9168  0.7522  2 Th 3.51, 6 Er 3.53-3.61, 1 Pm 3.54, 3 Y 3.54-3.57



Number 1: E_tot -0.19346 hartree per atom, M_tot 0.00 Bohr magnetons per cell, ΔH_f (0 K) 123 meV per atom. Number 2: E_tot -0.18502 hartree per atom, M_tot 0.00 Bohr magnetons per cell, ΔH_f (0 K) 161 meV per atom. Number 3: E_tot -0.19088 hartree per atom, M_tot 0.00 Bohr magnetons per cell, ΔH_f (0 K) 358 meV per atom. Number 4: E_tot -0.19087 hartree per atom, M_tot 0.00 Bohr magnetons per cell, ΔH_f (0 K) 148 meV per atom. Number 5: E_tot -0.19201 hartree per atom, M_tot 0.00 Bohr magnetons per cell, ΔH_f (0 K) 20 meV per atom. Number 6: E_tot -0.20209 hartree per atom, M_tot 0.00 Bohr magnetons per cell, ΔH_f (0 K) 31 meV per atom.